The following is a DFT calculation (PBE+U) of Co3PO7 after structural relaxation.

Summary:
- E_tot: -208.14 eV for the cell shown

Lattice parameters (Å, degrees): 7.9249 7.9249 6.8427 90.00 90.00 120.00
Space group R3m (No. 160, hexagonal axes)
Inequivalent atoms, fractional coordinates:
Co  0.2021  0.4042  0.0000 x9
P  0.0000  0.0000  0.7362 x3
O  0.0000  0.0000  0.5040 x3
O  0.0845  0.5423  0.8878 x9
O  0.1070  0.2140  0.7962 x9